First-principles (PBE-GGA) data for a relaxed structure of Hg4Bi2Pb3, as listed in the Alexandria database.

Cell and atoms, written as POSCAR:
```
Hg4Bi2Pb3
1.0
-2.0886 2.4871 1.1683
0.0163 -1.8451 9.0553
6.3499 4.8151 6.2001
Hg Bi Pb
4 2 3
direct
0.6659 0.6210 0.0472
0.9982 0.3356 0.6680
0.0018 0.6644 0.3320
0.3341 0.3790 0.9528
0.3356 0.0480 0.2809
0.6644 0.9520 0.7191
0.3380 0.7009 0.6230
0.0000 0.0000 0.0000
0.6620 0.2991 0.3770
```

Calculated values
**Calculated density**: 11.3 g/cm³
**Crystal system**: monoclinic
**Energy of formation**: 3.7 kJ/mol of atoms
**Spin magnetization**: 0.00 μB/f.u.
**Space group**: No. 12

***

First-principles (PBE-GGA) data for a relaxed structure of Hg4Bi2Pb5, as listed in the Alexandria database.

Cell and atoms, written as POSCAR:
```
Hg4Bi2Pb5
1.0
-2.1791 1.6901 -2.1311
-12.4388 -9.9579 4.8223
-0.9098 2.1946 5.5206
Hg Bi Pb
4 2 5
direct
0.2194 0.2607 0.4388
0.0129 0.8188 0.0257
0.7806 0.7393 0.5612
0.9871 0.1812 0.9743
0.4426 0.3585 0.8852
0.5574 0.6415 0.1148
0.8536 0.5479 0.7072
0.1464 0.4521 0.2928
0.7474 0.0935 0.4948
0.5000 0.0000 0.0000
0.2526 0.9065 0.5052
```

Calculated values
**Calculated density**: 11.4 g/cm³
**Crystal system**: monoclinic
**E above lowest polymorph**: 0 kJ/mol of formula units
**Energy of formation**: 4.2 kJ/mol of atoms
**Spin magnetization**: 0.00 μB/f.u.
**Space group**: No. 12

***

Copy entry 1 word for word.
First-principles (PBE-GGA) data for a relaxed structure of Hg4Bi2Pb3, as listed in the Alexandria database.

Cell and atoms, written as POSCAR:
```
Hg4Bi2Pb3
1.0
-2.0886 2.4871 1.1683
0.0163 -1.8451 9.0553
6.3499 4.8151 6.2001
Hg Bi Pb
4 2 3
direct
0.6659 0.6210 0.0472
0.9982 0.3356 0.6680
0.0018 0.6644 0.3320
0.3341 0.3790 0.9528
0.3356 0.0480 0.2809
0.6644 0.9520 0.7191
0.3380 0.7009 0.6230
0.0000 0.0000 0.0000
0.6620 0.2991 0.3770
```

Calculated values
**Calculated density**: 11.3 g/cm³
**Crystal system**: monoclinic
**Energy of formation**: 3.7 kJ/mol of atoms
**Spin magnetization**: 0.00 μB/f.u.
**Space group**: No. 12

***

- spin magnetization of number 2 (Hg4Bi2Pb5)?
  0.00 μB/f.u.